Entry 1:
Entry from Alexandria: a relaxed structure of Sc2Cu2Bi (GGA-PBE).

abc: 3.476 3.476 16.979
angles: 90.00 90.00 90.00
Positions (direct):
Sc 0.000 0.000 0.122
Sc 0.000 0.000 0.878
Sc 0.500 0.500 0.378
Sc 0.500 0.500 0.622
Cu 0.000 0.500 0.250
Cu 0.000 0.500 0.750
Cu 0.500 0.000 0.250
Cu 0.500 0.000 0.750
Bi 0.000 0.000 0.500
Bi 0.500 0.500 0.000

Properties
Theoretical density   6.9 g/cm³
Formation enthalpy at 0 K   -0.136 eV per atom
Energy above the lowest structure with this stoichiometry   0.2111 eV/atom
DOS at the Fermi energy   11.24 states/eV/cell
Symmetry   No. 139



Entry 2:
Entry from Alexandria: a relaxed structure of Ac3La2SmTe6 (GGA-PBE).

abc: 10.376 10.376 9.330
angles: 103.47 103.47 25.67
Positions (direct):
Ac 0.000 0.000 0.000
Ac 0.332 0.332 0.665
Ac 0.668 0.668 0.335
La 0.334 0.334 0.167
La 0.666 0.666 0.833
Sm 0.000 0.000 0.500
Te 0.161 0.161 0.587
Te 0.169 0.169 0.078
Te 0.499 0.499 0.262
Te 0.501 0.501 0.738
Te 0.831 0.831 0.922
Te 0.839 0.839 0.413

Properties
Raw formation energy   -34.70 kcal/mol of atoms
Theoretical density   7.4 g/cm³
DOS at the Fermi energy   7.39 states/eV/cell
Symmetry   No. 12



Question: The highest DOS at the Fermi energy belongs to which entry?
Answer: Sc2Cu2Bi



Question: Which formula does entry 2 have?
Answer: Ac3La2SmTe6